1 | A plane-wave DFT calculation with PBE with a Hubbard U was carried out for a relaxed structure of TiNi3O.

a b c (Å): 4.239 4.239 4.239
angles (deg): 90.00 90.00 90.00
Positions (direct):
O 0.500 0.500 0.500
Ni 0.000 0.000 0.500
Ni 0.000 0.500 0.000
Ti 0.000 0.000 0.000
Ni 0.500 0.000 0.000

Output
Density, g/cm3: 5.23
Magnetic moment, μB/f.u.: 0.00

2 | A plane-wave DFT calculation with PBE with a Hubbard U was carried out for a relaxed structure of TiNi3O.

a b c (Å): 3.959 3.959 3.959
angles (deg): 90.00 90.00 90.00
Site moments in Bohr magnetons follow the coordinates.
Positions (direct):
Ni 0.000 0.000 0.500  0.73
Ni 0.000 0.500 0.000  0.73
Ni 0.500 0.000 0.000  0.73
Ti 0.500 0.500 0.500  -1.40
O 0.000 0.000 0.000  -0.18

Output
Density, g/cm3: 6.42
Magnetic moment, μB/f.u.: 0.10

Quick one: most stable of them? 2

1 | A plane-wave DFT calculation with PBE with a Hubbard U was carried out for a relaxed structure of Ti2Ni2O.

a b c (Å): 4.137 4.137 5.180
angles (deg): 66.46 66.46 90.00
Positions (direct):
O 0.000 0.000 0.000
Ni 0.622 0.622 0.756
Ti 0.750 0.250 0.500
Ti 0.250 0.750 0.500
Ni 0.378 0.378 0.244

Output
Density, g/cm3: 5.20
Magnetic moment, μB/f.u.: 0.00

2 | A plane-wave DFT calculation with PBE with a Hubbard U was carried out for a relaxed structure of Ti2Ni2O.

a b c (Å): 6.421 6.421 3.064
angles (deg): 90.00 90.00 90.00
Positions (direct):
Ti 0.828 0.328 0.500
Ni 0.130 0.370 0.000
Ti 0.672 0.828 0.500
Ni 0.370 0.870 0.000
Ti 0.172 0.672 0.500
O 0.000 0.000 0.000
Ni 0.630 0.130 0.000
O 0.500 0.500 0.000
Ni 0.870 0.630 0.000
Ti 0.328 0.172 0.500

Output
Density, g/cm3: 6.02
Magnetic moment, μB/f.u.: 0.00

Quick one: most stable of them? 2

1 | A plane-wave DFT calculation with PBE with a Hubbard U was carried out for a relaxed structure of Tl2NiO.

a b c (Å): 6.412 6.412 5.918
angles (deg): 57.20 57.20 90.00
Positions (direct):
Ni 0.000 0.000 0.000
O 0.500 0.500 0.000
Ni 0.750 0.250 0.500
O 0.250 0.750 0.500
Tl 0.599 0.125 0.250
Tl 0.375 0.401 0.750
Tl 0.151 0.625 0.250
Tl 0.875 0.849 0.750

Output
Density, g/cm3: 10.27
Magnetic moment, μB/f.u.: 0.00

2 | A plane-wave DFT calculation with PBE with a Hubbard U was carried out for a relaxed structure of Tl2NiO.

a b c (Å): 4.649 4.649 4.649
angles (deg): 60.00 60.00 60.00
Site moments in Bohr magnetons follow the coordinates.
Positions (direct):
Ni 0.500 0.500 0.500  0.71
Tl 0.750 0.750 0.750  0.02
O 0.000 0.000 0.000  0.35
Tl 0.250 0.250 0.250  0.02

Output
Density, g/cm3: 11.30
Magnetic moment, μB/f.u.: 1.07

Quick one: most stable of them? 1

1 | A plane-wave DFT calculation with PBE with a Hubbard U was carried out for a relaxed structure of Tl3NiO.

a b c (Å): 4.919 4.919 4.919
angles (deg): 90.00 90.00 90.00
Positions (direct):
Tl 0.000 0.000 0.500
O 0.000 0.000 0.000
Tl 0.000 0.500 0.000
Tl 0.500 0.000 0.000
Ni 0.500 0.500 0.500

Output
Density, g/cm3: 9.59
Magnetic moment, μB/f.u.: 0.00

2 | A plane-wave DFT calculation with PBE with a Hubbard U was carried out for a relaxed structure of Tl3NiO.

a b c (Å): 4.964 4.964 4.964
angles (deg): 90.00 90.00 90.00
Positions (direct):
Tl 0.000 0.500 0.000
O 0.500 0.500 0.500
Tl 0.500 0.000 0.000
Tl 0.000 0.000 0.500
Ni 0.000 0.000 0.000

Output
Density, g/cm3: 9.34
Magnetic moment, μB/f.u.: 0.00

Quick one: most stable of them? 2

1 | A plane-wave DFT calculation with PBE with a Hubbard U was carried out for a relaxed structure of TlNi2O.

a b c (Å): 4.238 4.238 4.238
angles (deg): 60.00 60.00 60.00
Site moments in Bohr magnetons follow the coordinates.
Positions (direct):
Tl 0.500 0.500 0.500  -0.08
Ni 0.250 0.250 0.250  0.70
Ni 0.750 0.750 0.750  0.70
O 0.000 0.000 0.000  0.14

Output
Density, g/cm3: 10.42
Magnetic moment, μB/f.u.: 1.32

2 | A plane-wave DFT calculation with PBE with a Hubbard U was carried out for a relaxed structure of TlNi2O.

a b c (Å): 4.933 4.933 6.619
angles (deg): 68.12 68.12 90.00
Site moments in Bohr magnetons follow the coordinates.
Positions (direct):
Ni 0.375 0.625 0.250  0.71
Tl 0.750 0.250 0.500  -0.05
Tl 0.000 0.000 0.000  -0.05
Ni 0.375 0.125 0.250  0.69
O 0.500 0.500 0.000  -0.16
O 0.250 0.750 0.500  -0.16
Ni 0.375 0.625 0.750  0.72
Ni 0.875 0.625 0.750  0.73

Output
Density, g/cm3: 8.19
Magnetic moment, μB/f.u.: 1.01

Quick one: most stable of them? 2

1 | A plane-wave DFT calculation with PBE with a Hubbard U was carried out for a relaxed structure of VNi3O.

a b c (Å): 4.297 4.297 4.297
angles (deg): 90.00 90.00 90.00
Site moments in Bohr magnetons follow the coordinates.
Positions (direct):
V 0.000 0.000 0.000  2.17
Ni 0.000 0.500 0.000  -0.39
Ni 0.000 0.000 0.500  -0.39
O 0.500 0.500 0.500  0.55
Ni 0.500 0.000 0.000  -0.39

Output
Density, g/cm3: 5.09
Magnetic moment, μB/f.u.: 1.89

2 | A plane-wave DFT calculation with PBE with a Hubbard U was carried out for a relaxed structure of VNi3O.

a b c (Å): 3.986 3.986 3.986
angles (deg): 90.00 90.00 90.00
Site moments in Bohr magnetons follow the coordinates.
Positions (direct):
O 0.000 0.000 0.000  -0.13
Ni 0.000 0.000 0.500  0.83
Ni 0.000 0.500 0.000  0.83
Ni 0.500 0.000 0.000  0.83
V 0.500 0.500 0.500  2.48

Output
Density, g/cm3: 6.37
Magnetic moment, μB/f.u.: 4.86

Quick one: most stable of them? 2

1 | A plane-wave DFT calculation with PBE with a Hubbard U was carried out for a relaxed structure of Zn2NiWO6.

a b c (Å): 5.305 5.451 5.707
angles (deg): 63.57 68.64 76.90
Site moments in Bohr magnetons follow the coordinates.
Positions (direct):
W 0.068 0.024 0.967  0.03
Ni 0.427 0.403 0.143  1.80
O 0.762 0.324 0.870  0.03
O 0.874 0.789 0.297  0.01
O 0.172 0.250 0.077  0.04
Zn 0.639 0.170 0.666  0.01
O 0.968 0.929 0.715  0.01
O 0.328 0.344 0.533  0.04
O 0.396 0.807 0.927  0.03
Zn 0.032 0.624 0.617  0.00

Output
Density, g/cm3: 5.68
Magnetic moment, μB/f.u.: 2.06

2 | A plane-wave DFT calculation with PBE with a Hubbard U was carried out for a relaxed structure of Zn2NiWO6.

a b c (Å): 5.250 5.260 7.761
angles (deg): 90.00 89.15 90.00
Site moments in Bohr magnetons follow the coordinates.
Positions (direct):
Zn 0.510 0.470 0.758  0.00
O 0.843 0.814 0.078  0.02
Zn 0.490 0.530 0.242  0.00
O 0.343 0.686 0.578  0.02
O 0.319 0.670 0.946  0.02
O 0.384 0.915 0.262  0.02
W 0.000 0.500 0.000  0.05
O 0.657 0.314 0.422  0.02
Zn 0.990 0.970 0.742  0.00
O 0.181 0.170 0.554  0.02
O 0.884 0.585 0.762  0.02
O 0.681 0.330 0.054  0.02
O 0.616 0.085 0.738  0.02
O 0.116 0.415 0.238  0.02
O 0.157 0.186 0.922  0.02
Ni 0.000 0.500 0.500  1.78
Ni 0.500 0.000 0.000  1.78
O 0.819 0.830 0.446  0.02
W 0.500 0.000 0.500  0.05
Zn 0.010 0.030 0.258  0.00

Output
Density, g/cm3: 7.27
Magnetic moment, μB/f.u.: 1.96

Quick one: most stable of them? 2

1 | A plane-wave DFT calculation with PBE with a Hubbard U was carried out for a relaxed structure of YNi3O.

a b c (Å): 4.155 4.155 4.155
angles (deg): 90.00 90.00 90.00
Site moments in Bohr magnetons follow the coordinates.
Positions (direct):
Y 0.500 0.500 0.500  -0.24
Ni 0.500 0.000 0.000  0.76
Ni 0.000 0.000 0.500  0.90
O 0.000 0.000 0.000  -0.16
Ni 0.000 0.500 0.000  0.80

Output
Density, g/cm3: 6.50
Magnetic moment, μB/f.u.: 1.70

2 | A plane-wave DFT calculation with PBE with a Hubbard U was carried out for a relaxed structure of YNi3O.

a b c (Å): 4.582 4.582 4.582
angles (deg): 90.00 90.00 90.00
Positions (direct):
O 0.500 0.500 0.500
Y 0.000 0.000 0.000
Ni 0.000 0.000 0.500
Ni 0.000 0.500 0.000
Ni 0.500 0.000 0.000

Output
Density, g/cm3: 4.85
Magnetic moment, μB/f.u.: 0.00

Quick one: most stable of them? 1

1 | A plane-wave DFT calculation with PBE with a Hubbard U was carried out for a relaxed structure of Zn2Ni3O8.

a b c (Å): 5.774 5.774 9.130
angles (deg): 90.00 90.00 120.00
Site moments in Bohr magnetons follow the coordinates.
Positions (direct):
O 0.845 0.155 0.140  -0.27
O 0.845 0.690 0.140  -0.27
Ni 0.835 0.669 0.746  0.67
Ni 0.331 0.165 0.746  0.67
O 0.333 0.667 0.138  -0.12
Ni 0.669 0.835 0.246  0.67
Zn 0.333 0.667 0.917  -0.02
Zn 0.667 0.333 0.035  -0.06
O 0.155 0.845 0.640  -0.27
O 0.481 0.962 0.364  -0.13
O 0.000 0.000 0.351  -0.37
O 0.962 0.481 0.864  -0.13
O 0.481 0.519 0.364  -0.13
Ni 0.835 0.165 0.746  0.67
O 0.000 0.000 0.851  -0.37
O 0.310 0.155 0.140  -0.27
O 0.690 0.845 0.640  -0.27
O 0.519 0.481 0.864  -0.13
O 0.038 0.519 0.364  -0.13
Ni 0.165 0.835 0.246  0.67
O 0.519 0.038 0.864  -0.13
Ni 0.165 0.331 0.246  0.67
Zn 0.333 0.667 0.535  -0.06
O 0.667 0.333 0.638  -0.12
Zn 0.667 0.333 0.417  -0.02
O 0.155 0.310 0.640  -0.27

Output
Density, g/cm3: 5.48
Magnetic moment, μB/f.u.: 0.02

2 | A plane-wave DFT calculation with PBE with a Hubbard U was carried out for a relaxed structure of Zn2Ni3O8.

a b c (Å): 5.647 5.647 4.856
angles (deg): 78.03 78.03 60.02
Positions (direct):
O 0.112 0.662 0.372
O 0.888 0.338 0.628
O 0.609 0.609 0.076
Ni 0.251 0.749 0.000
O 0.899 0.899 0.880
Zn 0.708 0.708 0.383
O 0.391 0.391 0.924
O 0.662 0.112 0.372
O 0.101 0.101 0.120
Ni 0.749 0.251 0.000
Ni 0.000 0.000 0.500
O 0.338 0.888 0.628
Zn 0.292 0.292 0.617

Output
Density, g/cm3: 5.55
Magnetic moment, μB/f.u.: 0.00

Quick one: most stable of them? 2

1 | A plane-wave DFT calculation with PBE with a Hubbard U was carried out for a relaxed structure of ZnNi2O2.

a b c (Å): 6.090 6.090 2.839
angles (deg): 90.00 90.00 90.00
Site moments in Bohr magnetons follow the coordinates.
Positions (direct):
O 0.175 0.675 0.500  0.01
O 0.825 0.325 0.500  0.01
O 0.325 0.175 0.500  0.01
Ni 0.652 0.152 0.000  1.01
Zn 0.000 0.000 0.000  -0.06
Ni 0.152 0.348 0.000  1.01
Ni 0.348 0.848 0.000  1.01
Ni 0.848 0.652 0.000  1.01
Zn 0.500 0.500 0.000  -0.06
O 0.675 0.825 0.500  0.01

Output
Density, g/cm3: 6.78
Magnetic moment, μB/f.u.: 2.01

2 | A plane-wave DFT calculation with PBE with a Hubbard U was carried out for a relaxed structure of ZnNi2O2.

a b c (Å): 3.726 3.726 6.368
angles (deg): 72.99 72.99 90.00
Positions (direct):
Ni 0.280 0.280 0.440
Ni 0.720 0.720 0.560
O 0.250 0.750 0.500
O 0.750 0.250 0.500
Zn 0.000 0.000 0.000

Output
Density, g/cm3: 4.43
Magnetic moment, μB/f.u.: 0.00

Quick one: most stable of them? 2

1 | A plane-wave DFT calculation with PBE with a Hubbard U was carried out for a relaxed structure of ZnNi4O8.

a b c (Å): 5.706 5.706 5.991
angles (deg): 61.56 61.56 60.00
Site moments in Bohr magnetons follow the coordinates.
Positions (direct):
O 0.730 0.730 0.810  0.03
O 0.708 0.247 0.798  0.05
Ni 0.500 0.500 0.000  -0.07
Ni 0.500 0.000 0.000  -0.07
O 0.753 0.292 0.202  0.05
Ni 0.000 0.500 0.000  -0.07
Ni 0.000 0.000 0.000  1.76
Zn 0.500 0.500 0.500  0.03
O 0.247 0.247 0.798  0.05
O 0.247 0.708 0.798  0.05
O 0.292 0.753 0.202  0.05
O 0.270 0.270 0.190  0.03
O 0.753 0.753 0.202  0.05

Output
Density, g/cm3: 5.04
Magnetic moment, μB/f.u.: 2.00

2 | A plane-wave DFT calculation with PBE with a Hubbard U was carried out for a relaxed structure of ZnNi4O8.

a b c (Å): 6.861 6.861 9.061
angles (deg): 51.24 51.24 24.52
Site moments in Bohr magnetons follow the coordinates.
Positions (direct):
Ni 0.842 0.842 0.839  0.75
O 0.792 0.792 0.091  -0.07
Ni 0.351 0.351 0.494  1.24
O 0.873 0.873 0.608  -0.39
Ni 0.141 0.141 0.203  1.47
O 0.455 0.455 0.778  -0.27
O 0.526 0.526 0.270  -0.28
Ni 0.633 0.633 0.565  0.87
O 0.162 0.162 0.674  -0.33
O 0.822 0.822 0.365  -0.11
O 0.126 0.126 0.437  -0.27
O 0.224 0.224 0.927  -0.32
Zn 0.348 0.348 0.181  0.00

Output
Density, g/cm3: 5.23
Magnetic moment, μB/f.u.: 2.00

Quick one: most stable of them? 1